# Cs3DyBi2O8

A geometry-optimized Cs3DyBi2O8 structure (GGA-PBE, Alexandria).

Cell lengths 6.484, 6.484, 8.556 Å; angles 90.00, 90.00, 120.00 degrees
Fractional coordinates of all 14 atoms:
1 O 0.333 0.667 0.022
2 O 0.667 0.333 0.978
3 O 0.163 0.837 0.342
4 O 0.837 0.163 0.658
5 O 0.837 0.674 0.658
6 O 0.163 0.326 0.342
7 O 0.326 0.163 0.658
8 O 0.674 0.837 0.342
9 Cs 0.000 0.000 0.000
10 Cs 0.333 0.667 0.697
11 Cs 0.667 0.333 0.303
12 Bi 0.667 0.333 0.744
13 Bi 0.333 0.667 0.256
14 Dy 0.000 0.000 0.500

Summary:
For the formation energy (no corrections), the calculation gives -1.5197 eV/atom.

---

# SrAlCu2Se4

A geometry-optimized SrAlCu2Se4 structure (GGA-PBE, Alexandria).

Cell lengths 6.742, 6.283, 6.283 Å; angles 81.14, 57.55, 57.55 degrees
Fractional coordinates of all 8 atoms:
1 Cu 0.500 0.254 0.746
2 Cu 0.500 0.746 0.254
3 Se 0.409 0.123 0.468
4 Se 0.000 0.877 0.532
5 Se 0.000 0.468 0.123
6 Se 0.591 0.532 0.877
7 Sr 0.000 0.000 0.000
8 Al 0.000 0.500 0.500

Summary:
For the formation energy (no corrections), the calculation gives -0.8145 eV/atom.

---

# Sb2TeRu

A geometry-optimized Sb2TeRu structure (GGA-PBE, Alexandria).

Cell lengths 3.199, 3.199, 9.317 Å; angles 90.00, 90.00, 90.00 degrees
Last column: magnetic moment on the atom in μB.
Fractional coordinates of all 4 atoms:
1 Ru 0.500 0.500 0.747  0.21
2 Sb 0.500 0.500 0.235  0.00
3 Sb 0.000 0.000 0.942  0.00
4 Te 0.000 0.000 0.576  0.00

Summary:
For the formation energy (no corrections), the calculation gives 0.1172 eV/atom.

---

# MgPtRh2

A geometry-optimized MgPtRh2 structure (GGA-PBE, Alexandria).

Cell lengths 2.793, 2.793, 7.746 Å; angles 90.00, 90.00, 90.00 degrees
Fractional coordinates of all 4 atoms:
1 Mg 0.000 0.000 0.499
2 Rh 0.500 0.500 0.240
3 Rh 0.000 0.000 0.009
4 Pt 0.500 0.500 0.752

Summary:
For the energy of formation, the calculation gives -27.73 kJ per mole of atoms.

---

# Li2Al2Au

A geometry-optimized Li2Al2Au structure (GGA-PBE, Alexandria).

Cell lengths 6.733, 6.733, 3.745 Å; angles 90.00, 90.00, 90.00 degrees
Fractional coordinates of all 10 atoms:
1 Al 0.361 0.861 0.000
2 Al 0.139 0.361 0.000
3 Al 0.639 0.139 0.000
4 Al 0.861 0.639 0.000
5 Li 0.338 0.162 0.500
6 Li 0.838 0.338 0.500
7 Li 0.162 0.662 0.500
8 Li 0.662 0.838 0.500
9 Au 0.500 0.500 0.000
10 Au 0.000 0.000 0.000

Summary:
The calculation puts the energy relative to the lowest polymorph listed for this composition at 0 meV/atom. For the energy of formation, the calculation gives -23.30 kJ per mole of atoms.

---

# TaCdRu2

A geometry-optimized TaCdRu2 structure (GGA-PBE, Alexandria).

Cell lengths 8.762, 8.762, 8.762 Å; angles 20.00, 20.00, 20.00 degrees
Fractional coordinates of all 4 atoms:
1 Ru 0.508 0.508 0.508
2 Ru 0.992 0.992 0.992
3 Cd 0.750 0.750 0.750
4 Ta 0.250 0.250 0.250

Summary:
For the energy of formation, the calculation gives 5.10 kJ per mole of atoms.

---

# NaDy2Pd

A geometry-optimized NaDy2Pd structure (GGA-PBE, Alexandria).

Cell lengths 4.046, 4.046, 10.653 Å; angles 79.05, 79.05, 60.00 degrees
Fractional coordinates of all 4 atoms:
1 Dy 0.119 0.119 0.644
2 Dy 0.881 0.881 0.356
3 Pd 0.500 0.500 0.500
4 Na 0.000 0.000 0.000

Summary:
The calculation puts the energy relative to the lowest polymorph listed for this composition at 127 meV/atom. For the energy of formation, the calculation gives -17.26 kJ per mole of atoms.

---

# BeCuO2

A geometry-optimized BeCuO2 structure (GGA-PBE, Alexandria).

Cell lengths 4.327, 4.327, 4.901 Å; angles 63.80, 63.80, 90.00 degrees
Last column: magnetic moment on the atom in μB.
Fractional coordinates of all 8 atoms:
1 Be 0.500 0.500 0.000  0.00
2 Be 0.250 0.750 0.500  0.00
3 O 0.190 0.625 0.250  0.18
4 O 0.560 0.125 0.250  0.18
5 O 0.875 0.810 0.750  0.18
6 O 0.375 0.440 0.750  0.18
7 Cu 0.000 0.000 0.000  0.59
8 Cu 0.750 0.250 0.500  0.60

Summary:
For the formation energy (no corrections), the calculation gives -1.5249 eV/atom.

---

# Y2AlB

A geometry-optimized Y2AlB structure (GGA-PBE, Alexandria).

Cell lengths 7.482, 7.482, 6.219 Å; angles 53.02, 53.02, 90.00 degrees
Fractional coordinates of all 8 atoms:
1 Al 0.750 0.250 0.500
2 Al 0.000 0.000 0.000
3 Y 0.566 0.125 0.250
4 Y 0.875 0.816 0.750
5 Y 0.184 0.625 0.250
6 Y 0.375 0.434 0.750
7 B 0.500 0.500 0.000
8 B 0.250 0.750 0.500

Summary:
The calculation puts the energy relative to the lowest polymorph listed for this composition at 84 meV/atom. For the energy of formation, the calculation gives 19.00 kJ per mole of atoms.

---

# La3Er2TmS6

A geometry-optimized La3Er2TmS6 structure (GGA-PBE, Alexandria).

Cell lengths 6.854, 6.854, 7.088 Å; angles 99.28, 99.28, 120.12 degrees
Fractional coordinates of all 12 atoms:
1 S 0.407 0.075 0.224
2 S 0.075 0.407 0.224
3 S 0.593 0.925 0.776
4 S 0.257 0.257 0.775
5 S 0.925 0.593 0.776
6 S 0.743 0.743 0.225
7 Er 0.333 0.667 0.000
8 Er 0.667 0.333 0.000
9 La 0.167 0.833 0.500
10 La 0.500 0.500 0.500
11 La 0.833 0.167 0.500
12 Tm 0.000 0.000 0.000

Summary:
For the formation energy (no corrections), the calculation gives -2.0697 eV/atom.

---

# Bi6PtAu

A geometry-optimized Bi6PtAu structure (GGA-PBE, Alexandria).

Cell lengths 7.103, 7.107, 6.714 Å; angles 58.05, 58.05, 60.00 degrees
Fractional coordinates of all 8 atoms:
1 Au 0.500 0.500 0.500
2 Bi 0.238 0.969 0.249
3 Bi 0.969 0.545 0.249
4 Bi 0.545 0.238 0.249
5 Bi 0.762 0.031 0.751
6 Bi 0.031 0.455 0.751
7 Bi 0.455 0.762 0.751
8 Pt 0.000 0.000 0.000

Summary:
The calculation puts the energy relative to the lowest polymorph listed for this composition at 10 meV/atom. For the energy of formation, the calculation gives -6.91 kJ per mole of atoms.

---

# ThPa3Fe

A geometry-optimized ThPa3Fe structure (GGA-PBE, Alexandria).

Cell lengths 5.074, 5.074, 5.074 Å; angles 90.00, 90.00, 90.00 degrees
Fractional coordinates of all 5 atoms:
1 Pa 0.000 0.500 0.000
2 Pa 0.500 0.000 0.000
3 Pa 0.000 0.000 0.500
4 Th 0.500 0.500 0.500
5 Fe 0.000 0.000 0.000

Summary:
For the energy of formation, the calculation gives 16.65 kJ per mole of atoms.

---

no.,energy (eV per cell)
1,-75.9
2,-34.1
3,-20.2
4,-23.5
5,-31.6
6,-31.1
7,-16.4
8,-47.7
9,-45.1
10,-78.0
11,-33.2
12,-43.5